# Sc2Br3Cl

An optimized crystal structure of Sc2Br3Cl (PBE-GGA, Alexandria).

The calculation puts the final energy at -4.8647 eV/atom. The value obtained for the volume is 687.1 Å³/cell. As for the formation energy from raw total energies: -1.610 eV/atom.

The structure belongs to space group C2/m (No. 12); the cell edges are 15.797, 3.714 and 12.821 Å and the angles 90.00°, 114.00° and 90.00°. Symmetry generates all atoms from Sc at (0.245, 0.000, 0.124), Sc at (0.245, 0.500, 0.367), Br at (0.125, 0.000, 0.229), Br at (0.132, 0.500, 0.977), Br at (0.137, 0.500, 0.490) and Cl at (0.151, 0.000, 0.743).